{
  "formula": "CsRb2SrBr5",
  "functional": "PBE-GGA",
  "state": "optimized geometry",
  "lattice": [[-5.3362, -0.6172, 2.3029], [-2.3232, -4.5164, -6.5938], [6.3300, -4.4373, 6.0620]],
  "species": ["Br", "Br", "Rb", "Br", "Sr", "Br", "Cs", "Br", "Rb"],
  "fractional_positions": [[0.6321, 0.8826, 0.2642], [0.3679, 0.1174, 0.7358], [0.7929, 0.7929, 0.5858], [0.6321, 0.3816, 0.2642], [0.5000, 0.0000, 0.0000], [0.3679, 0.6184, 0.7358], [0.0000, 0.5000, 0.0000], [0.0000, 0.0000, 0.0000], [0.2071, 0.2071, 0.4142]],
  "magnetic_moment_mub_per_atom": 0.000,
  "energy_ev_per_atom": -3.2899,
  "volume_a3_per_cell": 408.87,
  "density_g_cm3": 3.21,
  "sg": "Immm",
  "formation_energy_uncorrected_mev_per_atom": -1864
}

***

{
  "formula": "Cs2RbSrBr5",
  "functional": "PBE-GGA",
  "state": "optimized geometry",
  "lattice": [[-1.0126, 5.4986, 1.7316], [-8.1479, -1.0621, -1.3922], [3.5324, -5.0143, 8.0959]],
  "species": ["Br", "Br", "Br", "Br", "Rb", "Sr", "Br", "Cs", "Cs"],
  "fractional_positions": [[0.3748, 0.1280, 0.7495], [0.3748, 0.6215, 0.7495], [0.6252, 0.3785, 0.2505], [0.6252, 0.8720, 0.2505], [0.0000, 0.5000, 0.0000], [0.5000, 0.0000, 0.0000], [0.0000, 0.0000, 0.0000], [0.2065, 0.2065, 0.4131], [0.7935, 0.7935, 0.5869]],
  "magnetic_moment_mub_per_atom": 0.000,
  "energy_ev_per_atom": -3.2709,
  "volume_a3_per_cell": 428.69,
  "density_g_cm3": 3.25,
  "sg": "Immm",
  "formation_energy_uncorrected_mev_per_atom": -1857
}

***

{
  "formula": "Cs2RbSrBr",
  "functional": "PBE-GGA",
  "state": "optimized geometry",
  "lattice": [[-7.1177, 0.8799, 0.8653], [-1.2244, -4.4009, -5.5963], [-0.1493, -5.4681, 4.3327]],
  "species": ["Br", "Rb", "Cs", "Cs", "Sr"],
  "fractional_positions": [[0.0000, 0.0000, 0.0000], [0.0000, 0.0000, 0.5000], [0.5000, 0.0000, 0.0000], [0.0000, 0.5000, 0.0000], [0.5000, 0.5000, 0.5000]],
  "de_polymorph_mev_per_atom": 15,
  "magnetic_moment_mub_per_atom": 0.076,
  "energy_ev_per_atom": -1.7442,
  "volume_a3_per_cell": 364.16,
  "density_g_cm3": 2.37,
  "sg": "P4/mmm",
  "formation_energy_uncorrected_mev_per_atom": -538
}

***

{
  "formula": "CsRb2SrBr",
  "functional": "PBE-GGA",
  "state": "optimized geometry",
  "lattice": [[7.4651, 0.0000, 0.0000], [0.0000, 7.4651, 0.0000], [0.0000, 0.0000, 6.2714]],
  "species": ["Rb", "Cs", "Br", "Sr", "Rb"],
  "fractional_positions": [[0.0000, 0.5000, 0.0000], [0.5000, 0.5000, 0.5000], [0.0000, 0.0000, 0.0000], [0.0000, 0.0000, 0.5000], [0.5000, 0.0000, 0.0000]],
  "magnetic_moment_mub_per_atom": 0.010,
  "energy_ev_per_atom": -1.7425,
  "volume_a3_per_cell": 349.49,
  "density_g_cm3": 2.24,
  "sg": "P4/mmm",
  "formation_energy_uncorrected_mev_per_atom": -514
}

***

{
  "formula": "Cs2Rb3SrBr6",
  "functional": "PBE-GGA",
  "state": "optimized geometry",
  "lattice": [[-8.6085, 1.2427, -1.7478], [5.0148, -4.7760, -5.5451], [-0.6528, -5.6513, 6.6152]],
  "species": ["Br", "Rb", "Br", "Br", "Br", "Sr", "Cs", "Cs", "Rb", "Br", "Br", "Rb"],
  "fractional_positions": [[0.3607, 0.0761, 0.2279], [0.1639, 0.8361, 0.5000], [0.2110, 0.2110, 0.7734], [0.0761, 0.3607, 0.2279], [0.6393, 0.9239, 0.7721], [0.0000, 0.0000, 0.0000], [0.6670, 0.3330, 0.0000], [0.3330, 0.6670, 0.0000], [0.5000, 0.5000, 0.5000], [0.7890, 0.7890, 0.2266], [0.9239, 0.6393, 0.7721], [0.8361, 0.1639, 0.5000]],
  "magnetic_moment_mub_per_atom": 0.000,
  "energy_ev_per_atom": -3.0498,
  "volume_a3_per_cell": 560.00,
  "density_g_cm3": 3.23,
  "sg": "C2/m",
  "formation_energy_uncorrected_mev_per_atom": -1689
}

***

{
  "formula": "Cs2RbSr2Br7",
  "functional": "PBE-GGA",
  "state": "optimized geometry",
  "lattice": [[5.9924, -0.0031, 0.0174], [0.0042, 5.9924, 0.0174], [2.9608, 2.9572, 15.0742]],
  "species": ["Br", "Cs", "Br", "Rb", "Sr", "Br", "Br", "Br", "Cs", "Sr", "Br", "Br"],
  "fractional_positions": [[0.5958, 0.0950, 0.8103], [0.8140, 0.8140, 0.3640], [0.0950, 0.5958, 0.8103], [0.0000, 0.0000, 0.0000], [0.3991, 0.3991, 0.2013], [0.5000, 0.5000, 0.0000], [0.6959, 0.6959, 0.6004], [0.9050, 0.4042, 0.1897], [0.1860, 0.1860, 0.6360], [0.6009, 0.6009, 0.7987], [0.4042, 0.9050, 0.1897], [0.3041, 0.3041, 0.3996]],
  "magnetic_moment_mub_per_atom": 0.000,
  "energy_ev_per_atom": -3.4199,
  "volume_a3_per_cell": 540.68,
  "density_g_cm3": 3.33,
  "sg": "C2/m",
  "formation_energy_uncorrected_mev_per_atom": -1941
}

***

{
  "formula": "CsRb2Sr2Br7",
  "functional": "PBE-GGA",
  "state": "optimized geometry",
  "lattice": [[-5.2766, 2.2679, -2.0407], [0.2364, -4.0032, -5.0600], [-4.4251, -8.7394, 10.8253]],
  "species": ["Sr", "Br", "Sr", "Br", "Rb", "Br", "Cs", "Rb", "Br", "Br", "Br", "Br"],
  "fractional_positions": [[0.6065, 0.6106, 0.2132], [0.7169, 0.7167, 0.4337], [0.3934, 0.3973, 0.7868], [0.1090, 0.5868, 0.2182], [0.7306, 0.2305, 0.4610], [0.8910, 0.3686, 0.7818], [0.0000, 0.0919, 0.0001], [0.2695, 0.7696, 0.5390], [0.5000, 0.4562, 0.0000], [0.3941, 0.8883, 0.7886], [0.2832, 0.2832, 0.5663], [0.6058, 0.1000, 0.2114]],
  "magnetic_moment_mub_per_atom": 0.000,
  "energy_ev_per_atom": -3.4018,
  "volume_a3_per_cell": 547.35,
  "density_g_cm3": 3.15,
  "sg": "Imm2",
  "formation_energy_uncorrected_mev_per_atom": -1913
}

***

{
  "formula": "Cs2RbSrBr",
  "functional": "PBE-GGA",
  "state": "optimized geometry",
  "lattice": [[7.6164, 0.0000, 0.0000], [0.0000, 7.6164, 0.0000], [0.0000, 0.0000, 6.3018]],
  "species": ["Br", "Sr", "Rb", "Cs", "Cs"],
  "fractional_positions": [[0.0000, 0.0000, 0.0000], [0.0000, 0.0000, 0.5000], [0.5000, 0.5000, 0.5000], [0.0000, 0.5000, 0.0000], [0.5000, 0.0000, 0.0000]],
  "de_polymorph_mev_per_atom": 0,
  "magnetic_moment_mub_per_atom": 0.006,
  "energy_ev_per_atom": -1.7592,
  "volume_a3_per_cell": 365.57,
  "density_g_cm3": 2.36,
  "sg": "P4/mmm",
  "formation_energy_uncorrected_mev_per_atom": -553
}

***

{
  "formula": "Cs2RbTaBr6",
  "functional": "PBE-GGA",
  "state": "optimized geometry",
  "lattice": [[8.3339, 0.0000, 0.0000], [0.0000, 8.3339, 0.0000], [4.1670, 4.1670, 5.8927]],
  "species": ["Br", "Br", "Rb", "Cs", "Br", "Cs", "Br", "Ta", "Br", "Br"],
  "fractional_positions": [[0.2235, 0.2235, 0.5530], [0.7765, 0.7765, 0.0000], [0.5000, 0.5000, 0.0000], [0.7500, 0.2500, 0.5000], [0.2235, 0.2235, 0.0000], [0.2500, 0.7500, 0.5000], [0.2235, 0.7765, 0.0000], [0.0000, 0.0000, 0.0000], [0.7765, 0.7765, 0.4470], [0.7765, 0.2235, 0.0000]],
  "magnetic_moment_mub_per_atom": 0.200,
  "energy_ev_per_atom": -3.7665,
  "volume_a3_per_cell": 409.27,
  "density_g_cm3": 4.10,
  "sg": "Fm-3m",
  "formation_energy_uncorrected_mev_per_atom": -1310
}

***

{
  "formula": "Cs2RbTbBr6",
  "functional": "PBE-GGA",
  "state": "optimized geometry",
  "lattice": [[8.3525, 0.0000, -0.0072], [0.0000, 8.7556, 0.0000], [0.0611, 0.0000, 11.9809]],
  "species": ["Br", "Rb", "Br", "Cs", "Cs", "Br", "Br", "Tb", "Br", "Br", "Br", "Br", "Tb", "Cs", "Rb", "Br", "Br", "Br", "Br", "Cs"],
  "fractional_positions": [[0.7740, 0.8206, 0.5442], [0.0000, 0.5000, 0.5000], [0.5946, 0.0294, 0.2745], [0.4783, 0.4344, 0.2487], [0.9783, 0.0656, 0.7487], [0.1738, 0.2313, 0.0529], [0.8262, 0.7687, 0.9471], [0.0000, 0.5000, 0.0000], [0.0946, 0.4706, 0.7745], [0.2260, 0.1794, 0.4558], [0.7260, 0.3206, 0.9558], [0.4054, 0.9706, 0.7255], [0.5000, 0.0000, 0.5000], [0.5217, 0.5656, 0.7513], [0.5000, 0.0000, 0.0000], [0.6738, 0.2687, 0.5529], [0.9054, 0.5294, 0.2255], [0.3262, 0.7313, 0.4471], [0.2740, 0.6794, 0.0442], [0.0217, 0.9344, 0.2513]],
  "magnetic_moment_mub_per_atom": 0.000,
  "energy_ev_per_atom": -3.6052,
  "volume_a3_per_cell": 876.19,
  "density_g_cm3": 3.75,
  "sg": "P2_1/c",
  "formation_energy_uncorrected_mev_per_atom": -1871
}

***

{
  "formula": "CsRb2TbBr6",
  "functional": "PBE-GGA",
  "state": "optimized geometry",
  "lattice": [[-5.1134, -6.4991, -0.0303], [2.8366, -2.2694, 8.0686], [-8.6299, 6.4131, 4.8377]],
  "species": ["Br", "Rb", "Cs", "Br", "Cs", "Tb", "Br", "Br", "Br", "Tb", "Rb", "Rb", "Br", "Br", "Br", "Br", "Br", "Br", "Br", "Rb"],
  "fractional_positions": [[0.8608, 0.5659, 0.2162], [0.5310, 0.5762, 0.7588], [0.5000, 0.0000, 0.0000], [0.2743, 0.6702, 0.0577], [0.0000, 0.5000, 0.5000], [0.5000, 0.0000, 0.5000], [0.2257, 0.1702, 0.4423], [0.7257, 0.3298, 0.9423], [0.1519, 0.2361, 0.0853], [0.0000, 0.5000, 0.0000], [0.9690, 0.0762, 0.7412], [0.4690, 0.4238, 0.2412], [0.1393, 0.4341, 0.7838], [0.6392, 0.0659, 0.2838], [0.3608, 0.9341, 0.7162], [0.3481, 0.7361, 0.4147], [0.8481, 0.7639, 0.9147], [0.6519, 0.2639, 0.5853], [0.7743, 0.8298, 0.5577], [0.0310, 0.9238, 0.2588]],
  "magnetic_moment_mub_per_atom": 0.000,
  "energy_ev_per_atom": -3.5918,
  "volume_a3_per_cell": 862.49,
  "density_g_cm3": 3.63,
  "sg": "P2_1/c",
  "formation_energy_uncorrected_mev_per_atom": -1846
}

***

{
  "formula": "CsRb2TcBr8",
  "functional": "PBE-GGA",
  "state": "optimized geometry",
  "lattice": [[7.4229, 0.0278, -0.0269], [-0.0536, 6.1613, 0.8250], [0.0109, 1.3365, 9.9371]],
  "species": ["Br", "Br", "Tc", "Br", "Br", "Cs", "Rb", "Br", "Br", "Br", "Br", "Rb"],
  "fractional_positions": [[0.7580, 0.8269, 0.8812], [0.2420, 0.1731, 0.1188], [0.0000, 0.0000, 0.0000], [0.0004, 0.3330, 0.7885], [0.4999, 0.7535, 0.5051], [0.0000, 0.0000, 0.5000], [0.4988, 0.6624, 0.1849], [0.5001, 0.2465, 0.4949], [0.9996, 0.6670, 0.2115], [0.2401, 0.8280, 0.8810], [0.7599, 0.1720, 0.1190], [0.5012, 0.3376, 0.8151]],
  "magnetic_moment_mub_per_atom": 0.248,
  "energy_ev_per_atom": -3.2743,
  "volume_a3_per_cell": 446.31,
  "density_g_cm3": 3.87,
  "sg": "P-1",
  "formation_energy_uncorrected_mev_per_atom": -1063
}